No. 1
An optimized crystal structure of PuCuIr, computed with PBE-GGA.

Cell lengths 4.4058, 4.4058, 4.4058 Å; angles 60.00, 60.00, 60.00 degrees
Last column: nearest neighbours and their distance in Å.
Positions (direct):
Ir  0.2500  0.2500  0.2500  4 Cu 2.70, 4 Pu 2.70
Pu  0.5000  0.5000  0.5000  4 Ir 2.70
Cu  0.0000  0.0000  0.0000  4 Ir 2.70

Calculated values
* distance to the lowest polymorph of the same formula: 0.000 eV per atom
* DFT formation energy: 0.6 kJ per mole of atoms
* DFT total energy: -8.893 eV/atom


No. 2
An optimized crystal structure of MgCdTeO, computed with PBE-GGA.

Cell lengths 3.8279, 3.8279, 11.1928 Å; angles 90.00, 90.00, 90.00 degrees
Last column: nearest neighbours and their distance in Å.
Positions (direct):
O  0.2500  0.2500  0.4225  1 Mg 1.91
O  0.7500  0.7500  0.5775  1 Mg 1.91
Cd  0.7500  0.2500  0.0000  4 Cd 2.71
Cd  0.2500  0.7500  0.0000  4 Cd 2.71
Mg  0.7500  0.7500  0.4068  1 O 1.91
Mg  0.2500  0.2500  0.5932  1 O 1.91
Te  0.7500  0.7500  0.7843  1 O 2.31
Te  0.2500  0.2500  0.2157  1 O 2.31

Calculated values
* distance to the lowest polymorph of the same formula: 0.712 eV per atom
* DFT total energy: -3.245 eV/atom


No. 3
An optimized crystal structure of ErTm2Al3CuSi2, computed with PBE-GGA.

Cell lengths 4.1294, 6.8540, 6.8540 Å; angles 120.04, 90.00, 90.00 degrees
Last column: nearest neighbours and their distance in Å.
Positions (direct):
Al  0.5000  0.2383  0.2383  2 Cu 2.63, 2 Si 2.67, 2 Al 2.83
Al  0.5000  0.7616  0.0003  2 Cu 2.64, 2 Si 2.66-2.67, 2 Al 2.83
Al  0.5000  0.0003  0.7616  2 Cu 2.64, 2 Si 2.66-2.67, 2 Al 2.83
Si  0.5000  0.6669  0.3326  3 Al 2.66-2.67, 4 Tm 2.93, 2 Er 2.93
Si  0.5000  0.3326  0.6669  3 Al 2.66-2.67, 4 Tm 2.93, 2 Er 2.93
Tm  0.0000  0.9998  0.4065  1 Cu 2.78, 4 Si 2.93
Tm  0.0000  0.4065  0.9998  1 Cu 2.78, 4 Si 2.93
Er  0.0000  0.5932  0.5932  1 Cu 2.79, 4 Si 2.93
Cu  0.0000  0.0009  0.0009  6 Al 2.63-2.64, 2 Tm 2.78, 1 Er 2.79

Calculated values
* DFT total energy: -4.998 eV/atom


No. 4
An optimized crystal structure of YMgNbOs, computed with PBE-GGA.

Cell lengths 4.7244, 4.7244, 4.7244 Å; angles 60.00, 60.00, 60.00 degrees
Last column: nearest neighbours and their distance in Å.
Positions (direct):
Os  0.0000  0.0000  0.0000  4 Mg 2.89, 4 Nb 2.89
Y  0.5000  0.5000  0.5000  4 Nb 2.89, 4 Mg 2.89
Nb  0.2500  0.2500  0.2500  4 Y 2.89, 4 Os 2.89
Mg  0.7500  0.7500  0.7500  4 Y 2.89, 4 Os 2.89

Calculated values
* distance to the lowest polymorph of the same formula: 0.018 eV per atom
* DFT total energy: -7.250 eV/atom